# RuPbI2N PBE optimized geometry
# * magnetization: 4.35 μB/f.u.
# * formation energy (no corrections): 37.3 kcal/mol of atoms
# * energy relative to the lowest polymorph listed for this composition: 1378 meV per atom
# * uncorrected energy: -3.263 eV/atom
data_RuPbI2N
_chemical_formula_sum 'Ru1 Pb1 I2 N1'
_symmetry_space_group_name_H-M 'P 4/m m m'
_symmetry_Int_Tables_number 123
_symmetry_space_group_name_Hall '-P 4 2'
_cell_length_a 5.904
_cell_length_b 5.904
_cell_length_c 4.524
_cell_angle_alpha 90.00
_cell_angle_beta 90.00
_cell_angle_gamma 90.00
loop_
_atom_site_label
_atom_site_type_symbol
_atom_site_fract_x
_atom_site_fract_y
_atom_site_fract_z
Ru1 Ru 0.000 0.000 0.000
Pb1 Pb 0.500 0.500 0.500
I1 I 0.000 0.500 0.500
N1 N 0.500 0.500 0.000